## BeNi3B (PBE)

Data for a relaxed structure of BeNi3B.

Cell and atoms, written as POSCAR:
```
BeNi3B
1.0
3.4258 0.0055 0.8165
1.7876 7.3394 0.1152
0.0268 -0.1383 7.5536
Ni Be B
12 4 4
direct
0.3686 0.7976 0.9653
0.6324 0.5282 0.7088
0.1286 0.3678 0.8749
0.6286 0.8749 0.3678
0.8676 0.2912 0.4718
0.1324 0.7088 0.5282
0.6314 0.2024 0.0347
0.3676 0.4718 0.2912
0.8686 0.9653 0.7976
0.8714 0.6322 0.1251
0.1314 0.0347 0.2024
0.3714 0.1251 0.6322
0.5074 0.8231 0.6638
0.9926 0.3362 0.1769
0.0074 0.6638 0.8231
0.4926 0.1769 0.3362
0.7500 0.9165 0.0835
0.2500 0.0835 0.9165
0.7500 0.2547 0.7453
0.2500 0.7453 0.2547
```

Energy relative to the elements = -0.166 eV per atom
DOS(E_F) = 3.73 states/eV per cell
Polymorph energy (0 for the lowest one) = 35 meV per atom
Total magnetization = 0.00 μB/f.u.
Space group = C2/c

***

## Cd3InGe (PBE)

Data for a relaxed structure of Cd3InGe.

Cell and atoms, written as POSCAR:
```
Cd3InGe
1.0
-0.8055 3.6616 3.9130
-4.1574 -2.9239 1.8802
3.3816 -2.7224 3.2436
Cd Ge In
3 1 1
direct
0.0000 0.0000 0.5000
0.5000 0.0000 0.0000
0.0000 0.5000 0.0000
0.5000 0.5000 0.5000
0.0000 0.0000 0.0000
```

Energy relative to the elements = 0.656 eV per atom
DOS(E_F) = 5.11 states/eV per cell
Polymorph energy (0 for the lowest one) = 345 meV per atom
Total magnetization = 0.00 μB/f.u.
Space group = Pm-3m

***

## BaLiCa2Pt (PBE)

Data for a relaxed structure of BaLiCa2Pt.

Cell and atoms, written as POSCAR:
```
BaLiCa2Pt
1.0
5.6623 0.0000 0.0000
0.0000 5.6623 0.0000
0.0000 0.0000 6.1712
Ca Li Ba Pt
2 1 1 1
direct
0.5000 0.0000 0.0000
0.0000 0.5000 0.0000
0.5000 0.5000 0.5000
0.0000 0.0000 0.5000
0.0000 0.0000 0.0000
```

Energy relative to the elements = -0.384 eV per atom
DOS(E_F) = 3.58 states/eV per cell
Polymorph energy (0 for the lowest one) = 0 meV per atom
Total magnetization = 0.00 μB/f.u.
Space group = P4/mmm

***

## AcTb2Se (PBE)

Data for a relaxed structure of AcTb2Se.

Cell and atoms, written as POSCAR:
```
AcTb2Se
1.0
-2.4034 -1.4721 -2.6914
-0.2356 -3.8576 -0.5011
-8.0901 -2.2029 5.6079
Tb Se Ac
2 1 1
direct
0.2726 0.2726 0.1822
0.0606 0.0606 0.8182
0.6667 0.6667 0.0000
0.5001 0.5001 0.4996
```

DOS(E_F) = 4.63 states/eV per cell
Polymorph energy (0 for the lowest one) = 0 meV per atom
Total magnetization = 0.00 μB/f.u.
Space group = R3m
Formation energy (no corrections) = -0.81 eV/atom

***

## AgPt2 (PBE)

Data for a relaxed structure of AgPt2.

Cell and atoms, written as POSCAR:
```
AgPt2
1.0
-2.9222 2.0796 -6.0009
-2.7202 -4.0132 -0.2632
-4.1680 2.6322 2.9419
Pt Ag
8 4
direct
0.6605 0.6631 0.9955
0.6605 0.1631 0.7545
0.3308 0.3327 0.5029
0.3358 0.8340 0.7471
0.0062 0.5036 0.2545
0.3308 0.8327 0.2471
0.3358 0.3340 0.0029
0.0062 0.0036 0.4955
0.9966 0.5005 0.7535
0.9966 0.0005 0.9965
0.6700 0.1662 0.2535
0.6700 0.6662 0.4965
```

Energy relative to the elements = 0.041 eV per atom
DOS(E_F) = 16.63 states/eV per cell
Polymorph energy (0 for the lowest one) = 49 meV per atom
Total magnetization = 0.00 μB/f.u.
Space group = P2_1/c

***

## PuZrSn (PBE)

Data for a relaxed structure of PuZrSn.

Cell and atoms, written as POSCAR:
```
PuZrSn
1.0
5.2447 -0.0002 0.0000
-2.6215 4.5425 0.0000
0.0000 0.0000 5.9870
Pu Sn Zr
2 2 2
direct
0.0000 0.5000 0.0000
0.0000 0.5000 0.5000
0.3334 0.1666 0.2500
0.6666 0.8334 0.7500
0.3332 0.1668 0.7500
0.6668 0.8332 0.2500
```

Energy relative to the elements = -0.350 eV per atom
DOS(E_F) = 15.33 states/eV per cell
Polymorph energy (0 for the lowest one) = 0 meV per atom
Total magnetization = 5.49 μB/f.u.
Space group = P6_3/mmc

***

## Tb4Pm5Nd (PBE)

Data for a relaxed structure of Tb4Pm5Nd.

Cell and atoms, written as POSCAR:
```
Tb4Pm5Nd
1.0
-0.3073 -3.3995 -1.1566
9.3553 -2.3080 4.2983
-3.1305 -0.7769 8.7302
Pm Nd Tb
5 1 4
direct
0.1420 0.7652 0.2839
0.1898 0.4040 0.3797
0.8102 0.5960 0.6203
0.8580 0.2348 0.7161
0.5000 0.5000 0.0000
0.5000 0.0000 0.0000
0.0462 0.2408 0.0924
0.3164 0.9101 0.6328
0.6836 0.0899 0.3672
0.9538 0.7592 0.9076
```

Energy relative to the elements = 0.156 eV per atom
DOS(E_F) = 15.69 states/eV per cell
Total magnetization = 0.00 μB/f.u.
Space group = C2/m

***

## TaMnPd6 (PBE)

Data for a relaxed structure of TaMnPd6.

Cell and atoms, written as POSCAR:
```
TaMnPd6
1.0
-0.9601 -3.6531 -1.1739
1.2864 0.8336 -3.6463
7.1935 -2.5209 1.9616
Pd Mn Ta
6 1 1
direct
0.5000 0.5000 0.0000
0.0000 0.5000 0.7455
0.5000 0.0000 0.7455
0.5000 0.5000 0.5000
0.0000 0.5000 0.2545
0.5000 0.0000 0.2545
0.0000 0.0000 0.0000
0.0000 0.0000 0.5000
```

Energy relative to the elements = -0.407 eV per atom
DOS(E_F) = 2.72 states/eV per cell
Polymorph energy (0 for the lowest one) = 0 meV per atom
Total magnetization = 4.61 μB/f.u.
Space group = P4/mmm

***

## RbCoI2 (PBE)

Data for a relaxed structure of RbCoI2.

Cell and atoms, written as POSCAR:
```
RbCoI2
1.0
8.2745 0.0000 0.0000
0.0000 8.2745 0.0000
4.1372 4.1372 4.2649
Rb I Co
2 4 2
direct
0.7500 0.2500 0.5000
0.0000 0.0000 0.0000
0.8750 0.7668 0.7500
0.5168 0.1250 0.2500
0.2332 0.6250 0.2500
0.3750 0.4832 0.7500
0.2500 0.7500 0.5000
0.5000 0.5000 0.0000
```

DOS(E_F) = 3.79 states/eV per cell
Polymorph energy (0 for the lowest one) = 0 meV per atom
Total magnetization = 2.00 μB/f.u.
Space group = I-42d
Formation energy (no corrections) = -0.46 eV/atom

***

## Sr3SbAu (PBE)

Data for a relaxed structure of Sr3SbAu.

Cell and atoms, written as POSCAR:
```
Sr3SbAu
1.0
-3.1708 -1.3058 -4.7915
0.6877 -5.7455 1.1107
-4.9184 0.0385 3.2443
Sr Au Sb
3 1 1
direct
0.0000 0.0000 0.5000
0.0000 0.5000 0.0000
0.5000 0.0000 0.0000
0.0000 0.0000 0.0000
0.5000 0.5000 0.5000
```

DOS(E_F) = 5.54 states/eV per cell
Polymorph energy (0 for the lowest one) = 0 meV per atom
Total magnetization = 0.00 μB/f.u.
Space group = Pm-3m
Formation energy (no corrections) = -0.48 eV/atom

***

## Sc2OsBr (PBE)

Data for a relaxed structure of Sc2OsBr.

Cell and atoms, written as POSCAR:
```
Sc2OsBr
1.0
-4.4628 -6.9412 0.2236
-0.7737 -8.2187 -0.0313
-2.2428 -7.1625 3.4374
Br Sc Os
1 2 1
direct
0.0000 0.0000 0.0000
0.1112 0.1112 0.1112
0.8888 0.8888 0.8888
0.5000 0.5000 0.5000
```

DOS(E_F) = 3.06 states/eV per cell
Polymorph energy (0 for the lowest one) = 287 meV per atom
Total magnetization = 0.00 μB/f.u.
Space group = R-3m
Formation energy (no corrections) = -0.46 eV/atom

***

## CsW3S (PBE)

Data for a relaxed structure of CsW3S.

Cell and atoms, written as POSCAR:
```
CsW3S
1.0
-1.9396 -3.1987 2.7742
0.4625 -3.1932 -3.3584
4.2087 -1.1232 1.6475
W Cs S
3 1 1
direct
0.0000 0.5000 0.0000
0.5000 0.0000 0.0000
0.0000 0.0000 0.5000
0.5000 0.5000 0.5000
0.0000 0.0000 0.0000
```

DOS(E_F) = 7.42 states/eV per cell
Polymorph energy (0 for the lowest one) = 0 meV per atom
Total magnetization = 0.00 μB/f.u.
Space group = Pm-3m
Formation energy (no corrections) = 1.90 eV/atom